Material: BaNa2Ni
Method: DFT, PBE
State: relaxed

```
BaNa2Ni
1.0
-2.2387 2.2387 12.4859
2.2387 -2.2387 12.4859
2.2387 2.2387 -12.4859
Ba Na Ni
2 4 2
Direct
0.0000 0.0000 0.0000
0.7500 0.2500 0.5000
0.1634 0.6250 0.0384
0.3750 0.4134 0.5384
0.5866 0.1250 0.9616
0.8750 0.8366 0.4616
0.2500 0.7500 0.5000
0.5000 0.5000 0.0000
```

Properties
Calculated volume (A^3/atom): 31.3
Calculated formation energy (eV/atom): 0.304
Space group: I-42d, No. 122